w.
This record from the Alexandria database describes a PBEsol-optimized structure of Sr2AlCl. The functional is meta-GGA SCAN.

Computed properties:
Density of states at the Fermi level: 0.3555 states/eV per atom

abc: 4.2076 4.2076 8.5544
angles: 75.76 75.76 60.00
With the nearest neighbours (Å) after each atom.
Sites, in units of the cell vectors:
Sr 0.2470 0.2470 0.2589  3 Cl 3.13, 3 Al 3.23
Cl 0.5000 0.5000 0.5000  6 Sr 3.13
Sr 0.7530 0.7530 0.7411  3 Cl 3.13, 3 Al 3.23
Al 0.0000 0.0000 0.0000  6 Sr 3.23

=====

x.
This record from the Alexandria database describes a PBEsol-optimized structure of Sr2AlCl. The functional is meta-GGA SCAN.

Computed properties:
Density of states at the Fermi level: 0.4280 states/eV per atom

abc: 3.7535 4.0368 8.5332
angles: 90.10 90.00 90.00
With the nearest neighbours (Å) after each atom.
Sites, in units of the cell vectors:
Al 0.5000 0.0000 0.5000  8 Sr 3.37, 2 Al 3.75
Sr 0.0000 0.4993 0.2718  2 Cl 2.98
Sr 0.0000 0.5007 0.7282  2 Cl 2.98
Cl 0.5000 0.5000 0.0000  4 Sr 2.98

=====

Which of them is the most stable? Correct choice: x.

=====

w.
This record from the Alexandria database describes a PBEsol-optimized structure of SrAl2Cl. The functional is meta-GGA SCAN.

Computed properties:
Density of states at the Fermi level: 1.0787 states/eV per atom

abc: 5.3130 5.3130 5.3130
angles: 60.00 60.00 60.00
With the nearest neighbours (Å) after each atom.
Sites, in units of the cell vectors:
Al 0.7500 0.7500 0.7500  4 Cl 3.25, 4 Sr 3.25
Al 0.2500 0.2500 0.2500  4 Cl 3.25, 4 Sr 3.25
Cl 0.0000 0.0000 0.0000  8 Al 3.25
Sr 0.5000 0.5000 0.5000  8 Al 3.25

=====

x.
This record from the Alexandria database describes a PBEsol-optimized structure of SrAl2Cl. The functional is meta-GGA SCAN.

Computed properties:
Density of states at the Fermi level: 0.3764 states/eV per atom

abc: 3.6273 4.3035 6.7940
angles: 94.06 105.48 90.00
With the nearest neighbours (Å) after each atom.
Sites, in units of the cell vectors:
Cl 0.0000 0.5000 0.0000  4 Sr 2.81
Al 0.2427 0.2378 0.4854  4 Al 2.75-2.89
Al 0.7573 0.7622 0.5146  4 Al 2.75-2.89
Sr 0.5000 0.0000 0.0000  4 Cl 2.81

=====

Which of them is the most stable? Correct choice: x.

=====

w.
This record from the Alexandria database describes a PBEsol-optimized structure of Ta2AlCl. The functional is meta-GGA SCAN.

Computed properties:
Density of states at the Fermi level: 0.6890 states/eV per atom

abc: 2.8562 3.0030 9.0410
angles: 90.00 90.00 118.40
With the nearest neighbours (Å) after each atom.
Sites, in units of the cell vectors:
Ta 0.0000 0.0000 0.7582  2 Cl 2.61, 2 Al 2.74, 2 Ta 2.86
Cl 0.5000 0.0000 0.0000  4 Ta 2.61, 2 Cl 2.86
Ta 0.0000 0.0000 0.2418  2 Cl 2.61, 2 Al 2.74, 2 Ta 2.86
Al 0.5000 0.0000 0.5000  4 Ta 2.74, 6 Al 2.86-3.00

=====

x.
This record from the Alexandria database describes a PBEsol-optimized structure of Ta2AlCl. The functional is meta-GGA SCAN.

Computed properties:
Density of states at the Fermi level: 1.2605 states/eV per atom

abc: 4.5949 4.5949 4.5949
angles: 60.00 60.00 60.00
With the nearest neighbours (Å) after each atom.
Sites, in units of the cell vectors:
Ta 0.0000 0.0000 0.0000  4 Cl 2.81, 4 Ta 2.81
Cl 0.2500 0.2500 0.2500  4 Ta 2.81, 4 Al 2.81
Ta 0.7500 0.7500 0.7500  4 Al 2.81, 4 Ta 2.81
Al 0.5000 0.5000 0.5000  4 Ta 2.81, 4 Cl 2.81

=====

Which of them is the most stable? Correct choice: w.

=====

w.
This record from the Alexandria database describes a PBEsol-optimized structure of TaAl2Cl. The functional is meta-GGA SCAN.

Computed properties:
Density of states at the Fermi level: 0.3199 states/eV per atom

abc: 2.8624 4.9503 4.9503
angles: 103.85 90.00 90.00
With the nearest neighbours (Å) after each atom.
Sites, in units of the cell vectors:
Ta 0.5000 0.5000 0.5000  8 Al 2.86, 2 Ta 2.86, 2 Cl 3.05
Cl 0.5000 0.0000 0.0000  8 Al 2.86, 2 Cl 2.86, 2 Ta 3.05
Al 0.0000 0.5000 0.0000  4 Ta 2.86, 4 Cl 2.86, 4 Al 2.86-3.05
Al 0.0000 0.0000 0.5000  4 Cl 2.86, 4 Ta 2.86, 4 Al 2.86-3.05

=====

x.
This record from the Alexandria database describes a PBEsol-optimized structure of TaAl2Cl. The functional is meta-GGA SCAN.

Computed properties:
Density of states at the Fermi level: 0.4030 states/eV per atom

abc: 4.6619 4.6619 4.6619
angles: 60.00 60.00 60.00
With the nearest neighbours (Å) after each atom.
Sites, in units of the cell vectors:
Cl 0.0000 0.0000 0.0000  8 Al 2.85
Al 0.7500 0.7500 0.7500  4 Cl 2.85, 4 Ta 2.85
Al 0.2500 0.2500 0.2500  4 Ta 2.85, 4 Cl 2.85
Ta 0.5000 0.5000 0.5000  8 Al 2.85

=====

Which of them is the most stable? Correct choice: w.

=====

w.
This record from the Alexandria database describes a PBEsol-optimized structure of AlTc2Cl. The functional is meta-GGA SCAN.

Computed properties:
Density of states at the Fermi level: 0.8140 states/eV per atom

abc: 4.2818 4.2818 4.2818
angles: 60.00 60.00 60.00
With the nearest neighbours (Å) after each atom.
Sites, in units of the cell vectors:
Cl 0.5000 0.5000 0.5000  8 Tc 2.62
Tc 0.7500 0.7500 0.7500  4 Al 2.62, 4 Cl 2.62
Tc 0.2500 0.2500 0.2500  4 Cl 2.62, 4 Al 2.62
Al 0.0000 0.0000 0.0000  8 Tc 2.62

=====

x.
This record from the Alexandria database describes a PBEsol-optimized structure of AlTc2Cl. The functional is meta-GGA SCAN.

Computed properties:
Density of states at the Fermi level: 0.7590 states/eV per atom

abc: 2.9229 4.3183 4.3183
angles: 90.00 90.00 90.00
With the nearest neighbours (Å) after each atom.
Sites, in units of the cell vectors:
Cl 0.5000 0.0000 0.0000  8 Tc 2.61
Tc 0.0000 0.0000 0.5000  4 Cl 2.61, 4 Al 2.61
Tc 0.0000 0.5000 0.0000  4 Al 2.61, 4 Cl 2.61
Al 0.5000 0.5000 0.5000  8 Tc 2.61

=====

y.
This record from the Alexandria database describes a PBEsol-optimized structure of AlTc2Cl. The functional is meta-GGA SCAN.

Computed properties:
Density of states at the Fermi level: 0.6555 states/eV per atom

abc: 2.8401 2.8401 8.3006
angles: 90.00 90.00 116.82
With the nearest neighbours (Å) after each atom.
Sites, in units of the cell vectors:
Al 0.0000 0.0000 0.4992  2 Cl 2.45, 2 Tc 2.54
Cl 0.5000 0.5000 0.2645  2 Al 2.45, 2 Tc 2.73
Tc 0.0000 0.0000 0.9887  2 Tc 2.49, 2 Cl 2.73
Tc 0.5000 0.5000 0.7475  2 Tc 2.49, 2 Al 2.54

=====

Which of them is the most stable? Correct choice: y.

=====

w.
This record from the Alexandria database describes a PBEsol-optimized structure of AlTcCl2. The functional is meta-GGA SCAN.

Computed properties:
Density of states at the Fermi level: 0.3093 states/eV per atom

abc: 3.1474 4.9446 4.9446
angles: 102.69 90.00 90.00
With the nearest neighbours (Å) after each atom.
Sites, in units of the cell vectors:
Tc 0.5000 0.0000 0.0000  8 Cl 2.93, 2 Al 3.09, 2 Tc 3.15
Cl 0.0000 0.0000 0.5000  4 Al 2.93, 4 Tc 2.93, 4 Cl 3.09-3.15
Cl 0.0000 0.5000 0.0000  4 Tc 2.93, 4 Al 2.93, 4 Cl 3.09-3.15
Al 0.5000 0.5000 0.5000  8 Cl 2.93, 2 Tc 3.09, 2 Al 3.15

=====

x.
This record from the Alexandria database describes a PBEsol-optimized structure of AlTcCl2. The functional is meta-GGA SCAN.

Computed properties:
Density of states at the Fermi level: 0.5693 states/eV per atom

abc: 2.8956 3.0782 8.8535
angles: 90.00 90.00 118.06
With the nearest neighbours (Å) after each atom.
Sites, in units of the cell vectors:
Al 0.5000 0.0000 0.0000  6 Al 2.90-3.08, 4 Cl 2.93
Cl 0.0000 0.0000 0.7128  2 Tc 2.38
Cl 0.0000 0.0000 0.2872  2 Tc 2.38
Tc 0.5000 0.0000 0.5000  4 Cl 2.38

=====

y.
This record from the Alexandria database describes a PBEsol-optimized structure of AlTcCl2. The functional is meta-GGA SCAN.

Computed properties:
Density of states at the Fermi level: 0.2899 states/eV per atom

abc: 4.5066 4.5066 4.5066
angles: 60.00 60.00 60.00
With the nearest neighbours (Å) after each atom.
Sites, in units of the cell vectors:
Tc 0.5000 0.5000 0.5000  8 Cl 2.76
Cl 0.7500 0.7500 0.7500  4 Tc 2.76, 4 Al 2.76
Al 0.0000 0.0000 0.0000  8 Cl 2.76
Cl 0.2500 0.2500 0.2500  4 Tc 2.76, 4 Al 2.76

=====

Which of them is the most stable? Correct choice: x.